Entry 1:
Below is Be2CrIr2 after structural relaxation, with properties calculated at the PBE level.

Calculated values
V	115.7	Å³ per cell
crystal system	tetragonal
energy of formation	-0.374	eV per atom

Lattice parameters (Å, degrees): 6.446 6.446 2.784 90.00 90.00 90.00
Space group P4/mbm (No. 127)
Inequivalent atoms, fractional coordinates:
Be (0.120, 0.380, 0.000) [4 per cell]
Cr (0.000, 0.000, 0.000) [2 per cell]
Ir (0.176, 0.676, 0.500) [4 per cell]

***

Entry 2:
Below is BaCaTl2 after structural relaxation, with properties calculated at the PBE level.

Calculated values
V	150.5	Å³ per cell
crystal system	tetragonal
energy of formation	-0.211	eV per atom

Lattice parameters (Å, degrees): 4.334 4.334 8.012 90.00 90.00 90.00
Space group P4mm (No. 99)
Inequivalent atoms, fractional coordinates:
Ba (0.000, 0.000, 0.000) [1 per cell]
Ca (0.500, 0.500, 0.358) [1 per cell]
Tl (0.000, 0.000, 0.535) [1 per cell]
Tl (0.500, 0.500, 0.758) [1 per cell]

***

Entry 3:
Below is MnHg2Se after structural relaxation, with properties calculated at the PBE level.

Calculated values
V	184.5	Å³ per cell
crystal system	orthorhombic
calculated total energy	-3.251	eV per atom

Lattice parameters (Å, degrees): 3.175 4.807 12.084 90.00 90.00 90.00
Space group Imm2 (No. 44)
Inequivalent atoms, fractional coordinates:
Mn (0.000, 0.000, 0.000) [2 per cell]
Hg (0.000, 0.000, 0.463) [2 per cell]
Hg (0.000, 0.500, 0.293) [2 per cell]
Se (0.000, 0.500, 0.654) [2 per cell]

***

Entry 4:
Below is Tm6Pb3N after structural relaxation, with properties calculated at the PBE level.

Calculated values
V	1155.6	Å³ per cell
crystal system	orthorhombic
calculated total energy	-5.132	eV per atom

Lattice parameters (Å, degrees): 11.179 15.312 6.751 90.00 90.00 90.00
Space group Cmc2_1 (No. 36)
Inequivalent atoms, fractional coordinates:
Tm (0.000, 0.079, 0.000) [4 per cell]
Tm (0.000, 0.266, 0.303) [4 per cell]
Tm (0.156, 0.265, 0.832) [8 per cell]
Tm (0.188, 0.466, 0.332) [8 per cell]
Pb (0.000, 0.409, 0.635) [4 per cell]
Pb (0.147, 0.111, 0.519) [8 per cell]
N (0.000, 0.221, 0.000) [4 per cell]

***

Entry 5:
Below is CaZrCd2 after structural relaxation, with properties calculated at the PBE level.

Calculated values
V	103.2	Å³ per cell
crystal system	monoclinic
energy of formation	0.057	eV per atom

Lattice parameters (Å, degrees): 5.419 3.324 6.328 90.00 115.11 90.00
Space group P2/m (No. 10)
Inequivalent atoms, fractional coordinates:
Ca (0.000, 0.000, 0.000) [1 per cell]
Zr (0.500, 0.500, 0.500) [1 per cell]
Cd (0.000, 0.000, 0.500) [1 per cell]
Cd (0.500, 0.500, 0.000) [1 per cell]

***

Entry 6:
Below is Cu3Ni13 after structural relaxation, with properties calculated at the PBE level.

Calculated values
V	353.6	Å³ per cell
crystal system	orthorhombic
energy of formation	0.026	eV per atom

Lattice parameters (Å, degrees): 7.031 7.085 7.098 90.00 90.00 90.00
Space group Amm2 (No. 38)
Inequivalent atoms, fractional coordinates:
Cu (0.000, 0.000, 0.000) [2 per cell]
Cu (0.250, 0.000, 0.249) [4 per cell]
Ni (0.000, 0.000, 0.502) [2 per cell]
Ni (0.000, 0.246, 0.750) [4 per cell]
Ni (0.251, 0.000, 0.748) [4 per cell]
Ni (0.252, 0.248, 0.499) [8 per cell]
Ni (0.500, 0.000, 0.500) [2 per cell]
Ni (0.500, 0.000, 0.996) [2 per cell]
Ni (0.500, 0.247, 0.749) [4 per cell]

***

Among the records above, which one has the lowest V? CaZrCd2

***

What is the formula in the third record? MnHg2Se